Version P
A relaxed structure of VHgTe2I, computed with GGA-PBE.

Cell lengths 5.6030, 5.6030, 5.8763 Å; angles 90.00, 90.00, 90.00 degrees
Element x y z (fractional)
V (0.5000, 0.5000, 0.5000)
I (0.0000, 0.0000, 0.5000)
Te (0.5000, 0.0000, 0.0000)
Te (0.0000, 0.5000, 0.0000)
Hg (0.0000, 0.0000, 0.0000)

Properties
* space group: P4/mmm (123)


Version Q
A relaxed structure of VHgTe2I, computed with GGA-PBE.

Cell lengths 5.1880, 5.1880, 5.8938 Å; angles 90.00, 90.00, 90.00 degrees
Element x y z (fractional)
Te (0.0000, 0.5000, 0.0000)
V (0.0000, 0.0000, 0.0000)
I (0.0000, 0.0000, 0.5000)
Te (0.5000, 0.0000, 0.0000)
Hg (0.5000, 0.5000, 0.5000)

Properties
* space group: P4/mmm (123)


It turns out version Q is the most stable, with the second structure 79.2 kJ/mol of atoms higher.


Version P
A relaxed structure of HgTeWI2, computed with GGA-PBE.

Cell lengths 5.7235, 5.7235, 5.2321 Å; angles 90.00, 90.00, 90.00 degrees
Element x y z (fractional)
Hg (0.5000, 0.5000, 0.5000)
W (0.0000, 0.0000, 0.0000)
Te (0.0000, 0.0000, 0.5000)
I (0.5000, 0.0000, 0.0000)
I (0.0000, 0.5000, 0.0000)

Properties
* space group: P4/mmm (123)


Version Q
A relaxed structure of HgTeWI2, computed with GGA-PBE.

Cell lengths 5.7188, 5.7188, 5.8169 Å; angles 90.00, 90.00, 90.00 degrees
Element x y z (fractional)
I (0.0000, 0.5000, 0.0000)
Te (0.0000, 0.0000, 0.5000)
I (0.5000, 0.0000, 0.0000)
W (0.5000, 0.5000, 0.5000)
Hg (0.0000, 0.0000, 0.0000)

Properties
* space group: P4/mmm (123)


It turns out version P is the most stable, with the second structure 104.3 kJ/mol of atoms higher.


Version P
A relaxed structure of ZrHgTeI2, computed with GGA-PBE.

Cell lengths 5.8647, 5.8647, 5.5765 Å; angles 90.00, 90.00, 90.00 degrees
Element x y z (fractional)
Hg (0.5000, 0.5000, 0.5000)
I (0.5000, 0.0000, 0.0000)
Te (0.0000, 0.0000, 0.5000)
I (0.0000, 0.5000, 0.0000)
Zr (0.0000, 0.0000, 0.0000)

Properties
* space group: P4/mmm (123)


Version Q
A relaxed structure of ZrHgTeI2, computed with GGA-PBE.

Cell lengths 5.7297, 5.7297, 5.7242 Å; angles 90.00, 90.00, 90.00 degrees
Element x y z (fractional)
Zr (0.5000, 0.5000, 0.5000)
I (0.5000, 0.0000, 0.0000)
Te (0.0000, 0.0000, 0.5000)
I (0.0000, 0.5000, 0.0000)
Hg (0.0000, 0.0000, 0.0000)

Properties
* space group: P4/mmm (123)


It turns out version P is the most stable, with the second structure 103.3 kJ/mol of atoms higher.


Version P
A relaxed structure of TiHgI6, computed with GGA-PBE.

Cell lengths 8.1636, 7.4024, 7.6058 Å; angles 101.14, 105.70, 123.14 degrees
Element x y z (fractional)
I (0.7211, 0.4342, 0.0000)
I (0.2789, 0.5658, 0.0000)
I (0.4179, 0.1595, 0.3081)
Ti (0.5000, 0.0000, 0.0000)
I (0.5821, 0.8405, 0.6919)
I (0.1098, 0.8514, 0.6919)
I (0.8902, 0.1486, 0.3081)
Hg (0.0000, 0.0000, 0.0000)

Properties
* space group: C2/m (12)


Version Q
A relaxed structure of TiHgI6, computed with GGA-PBE.

Cell lengths 7.2539, 7.4158, 8.4066 Å; angles 59.70, 57.73, 63.34 degrees
Element x y z (fractional)
I (0.9219, 0.5729, 0.2521)
I (0.6059, 0.2085, 0.2238)
I (0.3941, 0.7915, 0.7762)
I (0.0781, 0.4271, 0.7479)
Ti (0.0000, 0.0000, 0.0000)
Hg (0.5000, 0.5000, 0.5000)
I (0.1999, 0.9451, 0.2213)
I (0.8001, 0.0549, 0.7787)

Properties
* space group: P-1 (2)


It turns out version Q is the most stable, with the second structure 1.5 kJ/mol of atoms higher.